1 | {"formula": "Nd7Sm2Er3", "functional": "PBE", "state": "optimized geometry", "lattice_angstrom": [[-3.5564, -4.0645, 1.1128], [3.3272, -1.5237, 5.0691], [-6.8894, 7.8961, 6.8214]], "species": ["Nd", "Nd", "Nd", "Nd", "Nd", "Nd", "Nd", "Sm", "Sm", "Er", "Er", "Er"], "frac_coords": [[0.5000, 0.2415, 0.4548], [0.5000, 0.7585, 0.5452], [0.0000, 0.4441, 0.1811], [0.0000, 0.0000, 0.0000], [0.0000, 0.5559, 0.8189], [0.5000, 0.9173, 0.8289], [0.5000, 0.0827, 0.1711], [0.5000, 0.6044, 0.2788], [0.5000, 0.3956, 0.7212], [0.5000, 0.5000, 0.0000], [0.0000, 0.9356, 0.3447], [0.0000, 0.0644, 0.6553]], "sg": "P2/m, No. 10", "volume_a3_per_atom": 35.921, "magnetic_moment_mub_per_cell": 0.00}

---

2 | {"formula": "Nd7Sm2Er3", "functional": "PBE", "state": "optimized geometry", "lattice_angstrom": [[3.6421, 0.0000, 0.0000], [0.0000, 5.8963, 0.2382], [0.0000, -2.0473, 18.9905]], "species": ["Nd", "Nd", "Nd", "Nd", "Nd", "Nd", "Nd", "Sm", "Sm", "Er", "Er", "Er"], "frac_coords": [[0.5000, 0.7416, 0.4647], [0.5000, 0.2584, 0.5353], [0.0000, 0.6719, 0.1442], [0.0000, 0.0000, 0.0000], [0.0000, 0.3281, 0.8558], [0.5000, 0.8251, 0.8185], [0.5000, 0.1749, 0.1815], [0.5000, 0.7035, 0.2979], [0.5000, 0.2965, 0.7021], [0.5000, 0.5000, 0.0000], [0.0000, 0.2162, 0.3684], [0.0000, 0.7838, 0.6316]], "sg": "P2/m, No. 10", "volume_a3_per_atom": 34.132, "magnetic_moment_mub_per_cell": 0.00}

---

Which is the most stable structure? 2 is the most stable.

---

1 | {"formula": "Nd12Sm5Er2", "functional": "PBE", "state": "optimized geometry", "lattice_angstrom": [[-0.2622, 1.3770, 7.3980], [-1.3421, -10.0301, -2.0125], [8.3845, -5.5916, 1.3379]], "species": ["Nd", "Nd", "Nd", "Nd", "Nd", "Nd", "Nd", "Nd", "Nd", "Nd", "Nd", "Nd", "Sm", "Sm", "Sm", "Sm", "Sm", "Er", "Er"], "frac_coords": [[0.9915, 0.9830, 0.2162], [0.0897, 0.6809, 0.8514], [0.5911, 0.6809, 0.8514], [0.0763, 0.6692, 0.5007], [0.5928, 0.6692, 0.5007], [0.5071, 0.0143, 0.6751], [0.4929, 0.9857, 0.3249], [0.9237, 0.3308, 0.4993], [0.4072, 0.3308, 0.4993], [0.9103, 0.3191, 0.1486], [0.4089, 0.3191, 0.1486], [0.0085, 0.0170, 0.7838], [0.1761, 0.3523, 0.8277], [0.3221, 0.6443, 0.1979], [0.0000, 0.0000, 0.5000], [0.6779, 0.3557, 0.8021], [0.8239, 0.6477, 0.1723], [0.7026, 0.0000, 0.0000], [0.2974, 0.0000, 0.0000]], "sg": "C2/m, No. 12", "volume_a3_per_atom": 34.915, "magnetic_moment_mub_per_cell": 0.00}

---

2 | {"formula": "Nd12Sm5Er2", "functional": "PBE", "state": "optimized geometry", "lattice_angstrom": [[-2.8821, 7.7958, 6.6817], [-4.8061, -2.4960, -7.6711], [-4.5970, -5.2220, 4.1098]], "species": ["Nd", "Nd", "Nd", "Nd", "Nd", "Nd", "Nd", "Nd", "Nd", "Nd", "Nd", "Nd", "Sm", "Sm", "Sm", "Sm", "Sm", "Er", "Er"], "frac_coords": [[0.8678, 0.7357, 0.1043], [0.0402, 0.6265, 0.7931], [0.5864, 0.6265, 0.7931], [0.1686, 0.7877, 0.3865], [0.6191, 0.7877, 0.3865], [0.4472, 0.8943, 0.7100], [0.5528, 0.1057, 0.2900], [0.8314, 0.2123, 0.6135], [0.3809, 0.2123, 0.6135], [0.9598, 0.3735, 0.2069], [0.4136, 0.3735, 0.2069], [0.1322, 0.2643, 0.8957], [0.2424, 0.4848, 0.5181], [0.3442, 0.6885, 0.0885], [0.0000, 0.0000, 0.5000], [0.6558, 0.3115, 0.9115], [0.7576, 0.5152, 0.4819], [0.7336, 0.0000, 0.0000], [0.2664, 0.0000, 0.0000]], "sg": "C2/m, No. 12", "volume_a3_per_atom": 34.997, "magnetic_moment_mub_per_cell": 0.00}

---

Which is the most stable structure? 2 is the most stable.

---

1 | {"formula": "NdSm3Er2", "functional": "PBE", "state": "optimized geometry", "lattice_angstrom": [[6.9964, -1.1664, -1.4847], [-4.1271, 9.4192, -0.3836], [-2.1737, 0.7157, 6.8765]], "species": ["Nd", "Nd", "Sm", "Sm", "Sm", "Sm", "Sm", "Sm", "Er", "Er", "Er", "Er"], "frac_coords": [[0.2548, 0.0031, 0.2515], [0.7452, 0.9969, 0.7485], [0.2536, 0.0024, 0.7516], [0.7464, 0.9976, 0.2484], [0.8041, 0.6641, 0.8612], [0.1954, 0.3353, 0.6390], [0.8046, 0.6647, 0.3610], [0.1959, 0.3359, 0.1388], [0.3018, 0.6646, 0.3592], [0.3017, 0.6649, 0.8595], [0.6983, 0.3351, 0.1405], [0.6982, 0.3354, 0.6408]], "sg": "P-1, No. 2", "volume_a3_per_atom": 32.916, "magnetic_moment_mub_per_cell": 0.00}

---

2 | {"formula": "NdSm3Er2", "functional": "PBE", "state": "optimized geometry", "lattice_angstrom": [[3.4943, 0.0000, 0.0000], [0.0000, 5.9271, 0.0000], [-1.7472, -2.9635, 9.8242]], "species": ["Nd", "Sm", "Sm", "Sm", "Er", "Er"], "frac_coords": [[0.0000, 0.0000, 0.0000], [0.0000, 0.5000, 0.0000], [0.8072, 0.8072, 0.6145], [0.1928, 0.1928, 0.3855], [0.6376, 0.6376, 0.2752], [0.3624, 0.3624, 0.7248]], "sg": "Immm, No. 71", "volume_a3_per_atom": 33.912, "magnetic_moment_mub_per_cell": 0.00}

---

Which is the most stable structure? 1 is the most stable.

---

1 | {"formula": "Nd2Sm6Er3", "functional": "PBE", "state": "optimized geometry", "lattice_angstrom": [[5.9251, 0.0000, 1.7730], [2.9626, 5.3633, 0.8865], [-1.3198, 0.0000, 11.6929]], "species": ["Nd", "Nd", "Sm", "Sm", "Sm", "Sm", "Sm", "Sm", "Er", "Er", "Er"], "frac_coords": [[0.1665, 0.6669, 0.5000], [0.8335, 0.3331, 0.5000], [0.4157, 0.6673, 0.7533], [0.7488, 0.0000, 0.7531], [0.0830, 0.3327, 0.7533], [0.2512, 0.0000, 0.2469], [0.5843, 0.3327, 0.2467], [0.9170, 0.6673, 0.2467], [0.0000, 0.0000, 0.0000], [0.3344, 0.3312, 0.0000], [0.6656, 0.6688, 0.0000]], "sg": "C2/m, No. 12", "volume_a3_per_atom": 34.921, "magnetic_moment_mub_per_cell": 0.00}

---

2 | {"formula": "Nd2Sm6Er3", "functional": "PBE", "state": "optimized geometry", "lattice_angstrom": [[-2.1645, 2.1485, -3.6806], [-3.3460, -3.4135, -0.0249], [-6.5634, 9.6884, 12.6190]], "species": ["Nd", "Nd", "Sm", "Sm", "Sm", "Sm", "Sm", "Sm", "Er", "Er", "Er"], "frac_coords": [[0.4544, 0.4544, 0.9087], [0.5456, 0.5456, 0.0913], [0.1221, 0.6221, 0.2441], [0.6221, 0.1221, 0.2441], [0.8779, 0.3779, 0.7559], [0.3779, 0.8779, 0.7559], [0.6986, 0.6986, 0.3972], [0.3014, 0.3014, 0.6028], [0.0000, 0.0000, 0.0000], [0.8004, 0.8004, 0.6008], [0.1996, 0.1996, 0.3992]], "sg": "I4/mmm, No. 139", "volume_a3_per_atom": 35.050, "magnetic_moment_mub_per_cell": 0.00}

---

Which is the most stable structure? 1 is the most stable.

---

1 | {"formula": "Nd2Sm3Er6", "functional": "PBE", "state": "optimized geometry", "lattice_angstrom": [[-0.6754, 5.7063, -2.1443], [-5.0157, 3.2400, 1.4308], [5.0891, 6.0335, 8.5787]], "species": ["Nd", "Nd", "Sm", "Sm", "Sm", "Er", "Er", "Er", "Er", "Er", "Er"], "frac_coords": [[0.1667, 0.6666, 0.5000], [0.8333, 0.3334, 0.5000], [0.0000, 0.0000, 0.0000], [0.3358, 0.3285, 0.0000], [0.6642, 0.6715, 0.0000], [0.4164, 0.6669, 0.7508], [0.7494, 0.0000, 0.7509], [0.0832, 0.3331, 0.7508], [0.2506, 0.0000, 0.2491], [0.5836, 0.3331, 0.2492], [0.9168, 0.6669, 0.2492]], "sg": "C2/m, No. 12", "volume_a3_per_atom": 34.035, "magnetic_moment_mub_per_cell": 0.00}

---

2 | {"formula": "Nd2Sm3Er6", "functional": "PBE", "state": "optimized geometry", "lattice_angstrom": [[-1.5641, -4.3291, 1.1628], [1.8083, 0.5175, 4.3591], [-14.4408, 8.4652, 2.4001]], "species": ["Nd", "Nd", "Sm", "Sm", "Sm", "Er", "Er", "Er", "Er", "Er", "Er"], "frac_coords": [[0.4537, 0.4537, 0.9073], [0.5463, 0.5463, 0.0927], [0.0000, 0.0000, 0.0000], [0.7967, 0.7967, 0.5935], [0.2033, 0.2033, 0.4065], [0.1215, 0.6215, 0.2430], [0.6215, 0.1215, 0.2430], [0.8785, 0.3785, 0.7570], [0.3785, 0.8785, 0.7570], [0.6933, 0.6933, 0.3866], [0.3067, 0.3067, 0.6134]], "sg": "I4/mmm, No. 139", "volume_a3_per_atom": 33.960, "magnetic_moment_mub_per_cell": 0.00}

---

Which is the most stable structure? 1 is the most stable.

---

1 | {"formula": "Nd12SmEr7", "functional": "PBE", "state": "optimized geometry", "lattice_angstrom": [[9.4264, -0.1500, -0.2251], [-2.7652, 9.0130, -0.2251], [-2.7652, -3.6792, 8.2309]], "species": ["Nd", "Nd", "Nd", "Nd", "Nd", "Nd", "Nd", "Nd", "Nd", "Nd", "Nd", "Nd", "Sm", "Er", "Er", "Er", "Er", "Er", "Er", "Er"], "frac_coords": [[0.7795, 0.3277, 0.6225], [0.6723, 0.3775, 0.2205], [0.4078, 0.0528, 0.2960], [0.9472, 0.7040, 0.5922], [0.3775, 0.2205, 0.6723], [0.7040, 0.5922, 0.9472], [0.2960, 0.4078, 0.0528], [0.6225, 0.7795, 0.3277], [0.0528, 0.2960, 0.4078], [0.5922, 0.9472, 0.7040], [0.3277, 0.6225, 0.7795], [0.2205, 0.6723, 0.3775], [0.0000, 0.0000, 0.0000], [0.1043, 0.6807, 0.9924], [0.3193, 0.0076, 0.8957], [0.0076, 0.8957, 0.3193], [0.5000, 0.5000, 0.5000], [0.9924, 0.1043, 0.6807], [0.6807, 0.9924, 0.1043], [0.8957, 0.3193, 0.0076]], "sg": "R-3, No. 148", "volume_a3_per_atom": 34.004, "magnetic_moment_mub_per_cell": 0.00}

---

2 | {"formula": "Nd12SmEr7", "functional": "PBE", "state": "optimized geometry", "lattice_angstrom": [[6.0890, 0.0000, -1.2532], [-3.1735, 9.8281, -5.1400], [0.2580, 0.0000, 11.5332]], "species": ["Nd", "Nd", "Nd", "Nd", "Nd", "Nd", "Nd", "Nd", "Nd", "Nd", "Nd", "Nd", "Sm", "Er", "Er", "Er", "Er", "Er", "Er", "Er"], "frac_coords": [[0.0874, 0.5871, 0.1750], [0.0875, 0.1750, 0.5878], [0.5833, 0.6468, 0.0006], [0.4173, 0.0006, 0.3538], [0.4997, 0.4122, 0.5871], [0.0635, 0.6462, 0.6468], [0.9365, 0.3538, 0.3532], [0.5003, 0.5878, 0.4129], [0.5827, 0.9994, 0.6462], [0.4167, 0.3532, 0.9994], [0.9125, 0.8250, 0.4122], [0.9126, 0.4129, 0.8250], [0.0000, 0.0000, 0.0000], [0.1269, 0.7559, 0.0007], [0.8738, 0.0007, 0.2448], [0.6290, 0.7552, 0.7559], [0.5000, 0.0000, 0.0000], [0.3710, 0.2448, 0.2441], [0.1262, 0.9993, 0.7552], [0.8731, 0.2441, 0.9993]], "sg": "R-3, No. 148", "volume_a3_per_atom": 34.668, "magnetic_moment_mub_per_cell": 0.00}

---

Which is the most stable structure? 1 is the most stable.

---

1 | {"formula": "NdSm7Er2", "functional": "PBE", "state": "optimized geometry", "lattice_angstrom": [[-5.0429, 0.6973, -2.2087], [-2.4917, -1.0506, -8.5836], [-0.5552, -7.6212, 5.8225]], "species": ["Nd", "Sm", "Sm", "Sm", "Sm", "Sm", "Sm", "Sm", "Er", "Er"], "frac_coords": [[0.0000, 0.0000, 0.0000], [0.9998, 0.8005, 0.6009], [0.0002, 0.1995, 0.3991], [0.7507, 0.6393, 0.7808], [0.2493, 0.3607, 0.2192], [0.7519, 0.8575, 0.2191], [0.2481, 0.1425, 0.7809], [0.5000, 0.5000, 0.0000], [0.5003, 0.6993, 0.3989], [0.4997, 0.3007, 0.6011]], "sg": "C2/m, No. 12", "volume_a3_per_atom": 33.352, "magnetic_moment_mub_per_cell": 0.00}

---

2 | {"formula": "NdSm7Er2", "functional": "PBE", "state": "optimized geometry", "lattice_angstrom": [[-4.7170, -2.7198, -1.7602], [0.9293, -6.0427, 6.8463], [-4.8247, 7.7499, 0.9543]], "species": ["Nd", "Sm", "Sm", "Sm", "Sm", "Sm", "Sm", "Sm", "Er", "Er"], "frac_coords": [[0.0000, 0.0000, 0.0000], [0.0000, 0.7742, 0.2258], [0.0000, 0.2258, 0.7742], [0.5000, 0.0623, 0.2949], [0.5000, 0.9377, 0.7051], [0.5000, 0.2949, 0.0623], [0.5000, 0.7051, 0.9377], [0.5000, 0.5000, 0.5000], [0.5000, 0.7042, 0.2958], [0.5000, 0.2958, 0.7042]], "sg": "Cmmm, No. 65", "volume_a3_per_atom": 40.837, "magnetic_moment_mub_per_cell": 0.00}

---

Which is the most stable structure? 1 is the most stable.

---

1 | {"formula": "Nd6SmEr2", "functional": "PBE", "state": "optimized geometry", "lattice_angstrom": [[6.2560, -0.1495, -0.1447], [1.1628, 10.0015, 1.4252], [1.1628, 1.7485, 9.9501]], "species": ["Nd", "Nd", "Nd", "Nd", "Nd", "Nd", "Nd", "Nd", "Nd", "Nd", "Nd", "Nd", "Sm", "Sm", "Er", "Er", "Er", "Er"], "frac_coords": [[0.4858, 0.6872, 0.4085], [0.0142, 0.5915, 0.3128], [0.5142, 0.3128, 0.5915], [0.9858, 0.4085, 0.6872], [0.6537, 0.0757, 0.3578], [0.8463, 0.6422, 0.9243], [0.3463, 0.9243, 0.6422], [0.1537, 0.3578, 0.0757], [0.3189, 0.7388, 0.0191], [0.1811, 0.9809, 0.2612], [0.6811, 0.2612, 0.9809], [0.8189, 0.0191, 0.7388], [0.2500, 0.1002, 0.8998], [0.7500, 0.8998, 0.1002], [0.4148, 0.5658, 0.7658], [0.0852, 0.2342, 0.4342], [0.5852, 0.4342, 0.2342], [0.9148, 0.7658, 0.5658]], "sg": "C2/c, No. 15", "volume_a3_per_atom": 33.881, "magnetic_moment_mub_per_cell": 0.00}

---

2 | {"formula": "Nd6SmEr2", "functional": "PBE", "state": "optimized geometry", "lattice_angstrom": [[5.6858, -0.9477, 0.1760], [-1.4276, 10.0874, 6.5064], [-2.9820, 1.7054, 11.5899]], "species": ["Nd", "Nd", "Nd", "Nd", "Nd", "Nd", "Nd", "Nd", "Nd", "Nd", "Nd", "Nd", "Sm", "Sm", "Er", "Er", "Er", "Er"], "frac_coords": [[0.8346, 0.5020, 0.6685], [0.6654, 0.3315, 0.4980], [0.1654, 0.4980, 0.3315], [0.3346, 0.6685, 0.5020], [0.9196, 0.9196, 0.4196], [0.5804, 0.5804, 0.0804], [0.0804, 0.0804, 0.5804], [0.4196, 0.4196, 0.9196], [0.1631, 0.8320, 0.9975], [0.3369, 0.0025, 0.1680], [0.8369, 0.1680, 0.0025], [0.6631, 0.9975, 0.8320], [0.2500, 0.2502, 0.7498], [0.7500, 0.7498, 0.2502], [0.0013, 0.6670, 0.8330], [0.4987, 0.1670, 0.3330], [0.9987, 0.3330, 0.1670], [0.5013, 0.8330, 0.6670]], "sg": "C2/c, No. 15", "volume_a3_per_atom": 33.846, "magnetic_moment_mub_per_cell": 0.00}

---

Which is the most stable structure? 2 is the most stable.